## a
Entry from Alexandria: an optimized crystal structure of Er4CuRh (PBE-GGA).

## Properties
magnetic moment: 0.00 μB per formula unit
calculated volume: 28.56 A^3/atom
N(E_F): 12.4 states/eV/cell

a = 7.675 Å, b = 7.675 Å, c = 7.675 Å
α = 105.56°, β = 105.56°, γ = 117.62°
Sites, in units of the cell vectors:
Er  0.202  0.000  0.202
Er  0.241  0.537  0.296
Er  0.241  0.945  0.704
Er  0.287  0.491  0.796
Er  0.695  0.491  0.204
Er  0.750  0.048  0.298
Er  0.750  0.452  0.702
Er  0.798  0.000  0.798
Cu  0.496  0.996  0.500
Cu  0.746  0.746  0.000
Rh  0.246  0.246  0.000
Rh  0.996  0.496  0.500

=====

## b
Entry from Alexandria: an optimized crystal structure of Er4CuRh (PBE-GGA).

## Properties
magnetic moment: 0.00 μB per formula unit
calculated volume: 23.72 A^3/atom
N(E_F): 21.0 states/eV/cell

a = 9.302 Å, b = 9.302 Å, c = 9.302 Å
α = 60.00°, β = 60.00°, γ = 60.00°
Sites, in units of the cell vectors:
Er  0.185  0.185  0.815
Er  0.185  0.815  0.185
Er  0.185  0.815  0.815
Er  0.389  0.389  0.389
Er  0.389  0.389  0.832
Er  0.389  0.832  0.389
Er  0.561  0.561  0.939
Er  0.561  0.939  0.561
Er  0.561  0.939  0.939
Er  0.815  0.185  0.185
Er  0.815  0.185  0.815
Er  0.815  0.815  0.185
Er  0.832  0.389  0.389
Er  0.939  0.561  0.561
Er  0.939  0.561  0.939
Er  0.939  0.939  0.561
Cu  0.169  0.169  0.169
Cu  0.169  0.169  0.492
Cu  0.169  0.492  0.169
Cu  0.492  0.169  0.169
Rh  0.189  0.604  0.604
Rh  0.604  0.189  0.604
Rh  0.604  0.604  0.189
Rh  0.604  0.604  0.604

=====

Consider the structures shown above. The most stable of them is b.